No. 1
DFT (PBE) results for crystalline Zr2NiPd8 at its relaxed geometry.

The magnetization is 0.003 μB per formula unit. The calculation puts the density of states at the Fermi level at 6.741 states/eV/f.u. Its formation energy is -10.17 kcal/mol of atoms. For the volume, the calculation gives 16.51 Å³/atom. The value obtained for the total energy is -6.30 eV/atom.

It has space group C2/m (No. 12), with a = 14.711 Å, b = 4.471 Å, c = 6.056 Å, α = 90.00°, β = 114.20° and γ = 90.00°. The inequivalent atoms are Zr at (0.194, 0.000, 0.193), Ni at (0.000, 0.500, 0.500), Pd at (0.000, 0.000, 0.238), Pd at (0.134, 0.500, 0.906), Pd at (0.135, 0.500, 0.365) and Pd at (0.176, 0.000, 0.677).

***

No. 2
DFT (PBE) results for crystalline Zr2NiPd at its relaxed geometry.

The magnetization is 0.000 μB per formula unit. The calculation puts the density of states at the Fermi level at 4.612 states/eV/f.u. Its formation energy is -10.66 kcal/mol of atoms. For the volume, the calculation gives 17.79 Å³/atom. Its polymorph energy (0 for the lowest one) is 0.000 eV per atom. The value obtained for the total energy is -7.48 eV/atom.

It has space group P4/mmm (No. 123), with a = 3.255 Å, b = 3.255 Å, c = 6.715 Å, α = 90.00°, β = 90.00° and γ = 90.00°. The inequivalent atoms are Zr at (0.000, 0.000, 0.236), Ni at (0.500, 0.500, 0.000) and Pd at (0.500, 0.500, 0.500).

***

No. 3
DFT (PBE) results for crystalline Zr2NiPd at its relaxed geometry.

The magnetization is 0.000 μB per formula unit. The calculation puts the density of states at the Fermi level at 5.127 states/eV/f.u. Its formation energy is -2.68 kcal/mol of atoms. For the volume, the calculation gives 18.55 Å³/atom. Its polymorph energy (0 for the lowest one) is 0.346 eV per atom. The value obtained for the total energy is -7.13 eV/atom.

It has space group I-42d (No. 122), with a = 7.259 Å, b = 7.259 Å, c = 5.632 Å, α = 90.00°, β = 90.00° and γ = 90.00°. The inequivalent atoms are Zr at (0.233, 0.750, 0.125), Ni at (0.000, 0.000, 0.000) and Pd at (0.000, 0.000, 0.500).

***

No. 4
DFT (PBE) results for crystalline Zr2Ni9Pd at its relaxed geometry.

The magnetization is 1.952 μB per formula unit. The calculation puts the density of states at the Fermi level at 13.469 states/eV/f.u. Its formation energy is -5.38 kcal/mol of atoms. For the volume, the calculation gives 13.18 Å³/atom. Its polymorph energy (0 for the lowest one) is 0.018 eV per atom. The value obtained for the total energy is -6.43 eV/atom.

It has space group R-3m (No. 166, hexagonal axes), with a = 4.8389 Å, b = 4.8389 Å, c = 23.4040 Å, α = 90.00°, β = 90.00° and γ = 120.00°. The inequivalent atoms are Zr at (0.0000, 0.0000, 0.1339), Ni at (0.0000, 0.0000, 0.3336), Ni at (0.0000, 0.0000, 0.5000), Ni at (0.0043, 0.5021, 0.9161) and Pd at (0.0000, 0.0000, 0.0000).